[1]
DFT (PBE-GGA) results for a relaxed NaHoZnTe3 crystal.

Cell: 8.7544 4.4259 17.9382 Å, 90.00 90.00 90.00°
Space group Pnma (No. 62)
One atom of each set of equivalent atoms:
Na 0.0533 0.2500 0.2123 [4 per cell]
Ho 0.2358 0.2500 0.9544 [4 per cell]
Zn 0.1131 0.2500 0.6505 [4 per cell]
Te 0.0008 0.7500 0.5814 [4 per cell]
Te 0.1264 0.7500 0.0605 [4 per cell]
Te 0.2205 0.2500 0.7854 [4 per cell]

Computed properties:
Its total energy is -3.639 eV per atom. For the total magnetization, the calculation gives 0.00 Bohr magnetons per cell.

[2]
DFT (PBE-GGA) results for a relaxed NaHoZnTe3 crystal.

Cell: 8.8052 4.3102 10.3936 Å, 90.00 105.44 90.00°
Space group P2_1/m (No. 11)
One atom of each set of equivalent atoms:
Na 0.2149 0.2500 0.2482 [2 per cell]
Ho 0.3230 0.7500 0.8548 [2 per cell]
Zn 0.0823 0.2500 0.6024 [2 per cell]
Te 0.0738 0.2500 0.8546 [2 per cell]
Te 0.2350 0.7500 0.5357 [2 per cell]
Te 0.4365 0.7500 0.1597 [2 per cell]

Computed properties:
Its total energy is -3.739 eV per atom. For the total magnetization, the calculation gives 0.02 Bohr magnetons per cell.

[3]
DFT (PBE-GGA) results for a relaxed NaHoZnTe3 crystal.

Cell: 4.2879 14.7543 11.5497 Å, 90.00 90.00 90.00°
Space group Cmcm (No. 63)
One atom of each set of equivalent atoms:
Na 0.0000 0.2359 0.2500 [4 per cell]
Ho 0.0000 0.0000 0.0000 [4 per cell]
Zn 0.0000 0.4689 0.7500 [4 per cell]
Te 0.0000 0.0834 0.7500 [4 per cell]
Te 0.0000 0.3609 0.5660 [8 per cell]

Computed properties:
Its total energy is -3.748 eV per atom. For the total magnetization, the calculation gives 0.01 Bohr magnetons per cell.